# 1
Density functional theory data (PBE) for crystalline NaLi5Pd6 at its relaxed geometry.

Cell and atoms, written as extended XYZ:
```
12
Lattice="2.135 -6.408 0.000 2.135 6.408 0.000 0.000 0.000 6.257" Properties=species:S:1:pos:R:3 pbc="T T T"
Na 0.000 0.000 0.000
Li 0.000 0.000 3.128
Li 2.135 2.136 0.000
Li 2.135 2.128 3.128
Li 2.135 -2.128 3.128
Li 2.135 -2.136 0.000
Pd 2.135 4.199 1.635
Pd 2.135 4.199 4.622
Pd 2.135 0.000 1.691
Pd 2.135 0.000 4.566
Pd 2.135 -4.199 1.635
Pd 2.135 -4.199 4.622
```

Properties
magnetic moment	0.0	μB/f.u.
electronic total energy	-3.82	eV/atom
energy of formation	-0.31	eV/atom
space-group type	Cmmm, No. 65

=====

# 2
Density functional theory data (PBE) for crystalline LiTaBe at its relaxed geometry.

Cell and atoms, written as extended XYZ:
```
6
Lattice="2.765 0.000 0.000 0.000 3.430 0.000 -0.016 0.000 9.174" Properties=species:S:1:pos:R:3 pbc="T T T"
Li 0.000 0.000 0.000
Li 1.367 1.715 7.489
Ta 1.375 1.715 4.713
Ta 1.386 1.715 1.933
Be -0.002 0.000 3.322
Be -0.009 0.000 6.008
```

Properties
magnetic moment	0.0	μB/f.u.
electronic total energy	-5.63	eV/atom
energy of formation	0.20	eV/atom
space-group type	Pm, No. 6

=====

# 3
Density functional theory data (PBE) for crystalline Na2Au3Se3 at its relaxed geometry.

Cell and atoms, written as extended XYZ:
```
8
Lattice="4.314 2.490 2.660 -4.314 2.490 2.660 0.000 -4.981 2.660" Properties=species:S:1:pos:R:3 pbc="T T T"
Na 0.000 0.000 1.865
Na 0.000 0.000 6.116
Au -1.173 -2.032 3.990
Au -1.173 2.032 3.990
Au 2.347 0.000 3.990
Se -3.082 0.357 2.660
Se 1.232 -2.847 2.660
Se 1.850 2.490 2.660
```

Properties
magnetic moment	0.0	μB/f.u.
electronic total energy	-3.01	eV/atom
space-group type	R32, No. 155

=====

# 4
Density functional theory data (PBE) for crystalline Tl2GaBi2 at its relaxed geometry.

Cell and atoms, written as extended XYZ:
```
10
Lattice="7.710 0.000 0.000 0.000 7.710 0.000 0.000 0.000 5.578" Properties=species:S:1:pos:R:3 pbc="T T T"
Tl 1.297 2.558 0.000
Tl 2.558 6.413 0.000
Tl 5.151 1.297 0.000
Tl 6.413 5.151 0.000
Ga 0.000 0.000 2.789
Ga 3.855 3.855 2.789
Bi 1.112 4.967 2.789
Bi 2.743 1.112 2.789
Bi 4.967 6.598 2.789
Bi 6.598 2.743 2.789
```

Properties
magnetic moment	0.0	μB/f.u.
electronic total energy	-3.03	eV/atom
energy of formation	0.07	eV/atom
space-group type	P4/mbm, No. 127